Computed, not measured: a relaxed structure of SrAc2Hg2Pb2 at the PBE level of DFT.

Computed properties:
Crystal system: trigonal
Space group: No. 166
Magnetic moment, μB/f.u.: 0.00

a b c (Å): 5.385 5.385 10.407
angles (deg): 75.01 75.01 60.00
Positions (direct):
Sr 0.000 0.000 0.000
Ac 0.130 0.130 0.611
Ac 0.870 0.870 0.389
Hg 0.572 0.572 0.284
Hg 0.428 0.428 0.716
Pb 0.736 0.736 0.793
Pb 0.264 0.264 0.207

=====

Computed, not measured: a relaxed structure of AcTbHgPb at the PBE level of DFT.

Computed properties:
Crystal system: cubic
Space group: No. 216
Magnetic moment, μB/f.u.: 0.00

a b c (Å): 5.603 5.603 5.603
angles (deg): 60.00 60.00 60.00
Positions (direct):
Pb 0.250 0.250 0.250
Ac 0.000 0.000 0.000
Tb 0.500 0.500 0.500
Hg 0.750 0.750 0.750

=====

Computed, not measured: a relaxed structure of AcTlHgPb at the PBE level of DFT.

Computed properties:
Crystal system: orthorhombic
Distance to the lowest polymorph of the same formula, meV/atom: 0.0
Space group: No. 47
Magnetic moment, μB/f.u.: 0.00

a b c (Å): 4.921 4.952 5.069
angles (deg): 90.00 90.00 90.00
Positions (direct):
Ac 0.500 0.500 0.000
Tl 0.500 0.000 0.500
Hg 0.000 0.500 0.500
Pb 0.000 0.000 0.000

=====

Computed, not measured: a relaxed structure of Ac3Tl3HgPb2 at the PBE level of DFT.

Computed properties:
Crystal system: hexagonal
Space group: No. 189
Magnetic moment, μB/f.u.: 0.00

a b c (Å): 4.806 8.478 8.478
angles (deg): 120.00 90.00 90.00
Positions (direct):
Ac 0.000 0.610 0.610
Ac 0.000 0.000 0.390
Ac 0.000 0.390 0.000
Tl 0.500 0.750 0.000
Tl 0.500 0.000 0.750
Tl 0.500 0.250 0.250
Hg 0.000 0.000 0.000
Pb 0.500 0.667 0.333
Pb 0.500 0.333 0.667

=====

| no. | DFT total energy (eV/cell) | formation enthalpy at 0 K (meV per atom) |
| --- | --- | --- |
| 1 | -20.0 | -295 |
| 2 | -14.5 | -436 |
| 3 | -12.0 | -372 |
| 4 | -30.7 | -399 |